The following is a DFT calculation (PBE-GGA) of a relaxed Rb2TmPaS4 crystal.

a b c (Å): 7.031 4.011 8.078
angles (deg): 90.00 106.48 90.00
Space group P2/m (No. 10)
Symmetry-distinct sites (fractional):
Rb  0.000  0.000  0.000 x1
Rb  0.500  0.500  0.000 x1
Tm  0.000  0.500  0.500 x1
Pa  0.500  0.000  0.500 x1
S  0.228  0.000  0.692 x2
S  0.263  0.500  0.304 x2

Values from the calculation:
The calculation puts the mass density at 5.31 g cm⁻³. For the magnetization, the calculation gives 1.94 Bohr magnetons per cell. Its uncorrected formation energy is -1.621 eV/atom.